1.
Density functional theory data (GGA-PBE) for K2InGa3Sn4 after structural relaxation.

Results
- Energy relative to the elements: -0.16 eV/atom
- V: 28.8 A^3/atom

Structure (POSCAR):
```
K2InGa3Sn4
1.0
5.037 0.000 0.000
0.000 5.037 0.000
0.000 0.000 11.364
K In Ga Sn
2 1 3 4
Cartesian
0.000 2.518 2.837 K
2.518 0.000 8.527 K
0.000 0.000 5.682 In
0.000 2.518 9.958 Ga
2.518 0.000 1.407 Ga
2.518 2.518 5.682 Ga
0.000 0.000 0.000 Sn
0.000 2.518 7.220 Sn
2.518 0.000 4.144 Sn
2.518 2.518 0.000 Sn
```

2.
Density functional theory data (GGA-PBE) for K2InGa4Sn3 after structural relaxation.

Results
- Energy relative to the elements: -0.17 eV/atom
- V: 27.6 A^3/atom

Structure (POSCAR):
```
K2InGa4Sn3
1.0
4.904 0.000 0.000
0.000 4.904 0.000
0.000 0.000 11.460
K In Ga Sn
2 1 4 3
Cartesian
0.000 2.452 2.800 K
2.452 0.000 8.660 K
0.000 0.000 5.730 In
0.000 0.000 0.000 Ga
0.000 2.452 7.249 Ga
2.452 0.000 4.211 Ga
2.452 2.452 0.000 Ga
0.000 2.452 9.996 Sn
2.452 0.000 1.464 Sn
2.452 2.452 5.730 Sn
```

3.
Density functional theory data (GGA-PBE) for KInGa2Sn after structural relaxation.

Results
- Energy relative to the elements: -0.15 eV/atom
- V: 27.5 A^3/atom

Structure (POSCAR):
```
KInGa2Sn
1.0
-2.406 2.448 5.839
2.406 -2.448 5.839
2.406 2.448 -5.839
K In Ga Sn
1 1 2 1
Cartesian
0.000 0.000 0.000 K
2.406 0.000 3.015 In
0.000 0.000 4.414 Ga
0.000 2.448 3.056 Ga
0.000 0.000 7.171 Sn
```

4.
Density functional theory data (GGA-PBE) for K2In4GaSn3 after structural relaxation.

Results
- Energy relative to the elements: -0.14 eV/atom
- V: 31.4 A^3/atom

Structure (POSCAR):
```
K2In4GaSn3
1.0
5.089 0.000 0.000
0.000 5.089 0.000
0.000 0.000 12.109
K In Ga Sn
2 4 1 3
Cartesian
0.000 2.544 2.985 K
2.544 0.000 9.124 K
0.000 0.000 6.054 In
0.000 2.544 10.573 In
2.544 0.000 1.536 In
2.544 2.544 6.054 In
2.544 2.544 0.000 Ga
0.000 0.000 0.000 Sn
0.000 2.544 7.672 Sn
2.544 0.000 4.436 Sn
```